(1)
Entry from OQMD via LeMat-Bulk: a geometry-optimized TmZnNO structure (PBE).

It has space group P4/nmm (No. 129, origin choice 2), with a = 3.6337 Å, b = 3.6337 Å, c = 7.6666 Å, α = 90.00°, β = 90.00° and γ = 90.00°. The inequivalent atoms are Tm at (0.2500, 0.2500, 0.1502), Zn at (0.2500, 0.7500, 0.5000), N at (0.2500, 0.2500, 0.6500) and O at (0.2500, 0.7500, 0.0000).

Its size of the total moment is 0.0 μB per formula unit. The crystal system is tetragonal. The polymorph energy (0 for the lowest one) comes out at 143 meV/atom.

(2)
Entry from OQMD via LeMat-Bulk: a geometry-optimized TmZnNO structure (PBE).

It has space group P4/nmm (No. 129, origin choice 2), with a = 4.7050 Å, b = 4.7050 Å, c = 4.3563 Å, α = 90.00°, β = 90.00° and γ = 90.00°. The inequivalent atoms are Tm at (0.2500, 0.7500, 0.0000), Zn at (0.2500, 0.2500, 0.4970), N at (0.2500, 0.2500, 0.0002) and O at (0.2500, 0.7500, 0.5000).

Its size of the total moment is 0.0 μB per formula unit. The crystal system is tetragonal. The polymorph energy (0 for the lowest one) comes out at 58 meV/atom.

(3)
Entry from OQMD via LeMat-Bulk: a geometry-optimized TmZnNO structure (PBE).

It has space group Pmc2_1 (No. 26), with a = 3.5480 Å, b = 5.8620 Å, c = 5.6196 Å, α = 90.00°, β = 90.00° and γ = 90.00°. The inequivalent atoms are Tm at (0.0000, 0.1863, 0.0000), Zn at (0.5000, 0.3517, 0.5044), N at (0.5000, 0.3436, 0.8526) and O at (0.0000, 0.1643, 0.3852).

Its size of the total moment is 0.0 μB per formula unit. The crystal system is orthorhombic. The polymorph energy (0 for the lowest one) comes out at 77 meV/atom.

> The lowest polymorph energy (0 for the lowest one) belongs to which entry?

number 2